(1)
Compound: SiAuI2
Source: Alexandria
Functional: PBE
Structure: optimized geometry

Properties
DOS at the Fermi energy: 9.35 states/eV/cell
Excess energy over the best structure of this formula in the dataset: 0 meV/atom
Formation energy (no corrections): 2.1 eV/f.u.
Total DFT energy (no corrections): -2.436 eV per atom

Unit cell a=5.763 b=5.763 c=16.621 alpha=90.00 beta=90.00 gamma=90.00
Space group I-42d (No. 122)
One atom of each set of equivalent atoms:
1 Si 0.000 0.000 0.000 x4
2 Au 0.000 0.000 0.500 x4
3 I 0.246 0.250 0.125 x8

---

(2)
Compound: Ba2GaI
Source: Alexandria
Functional: PBE
Structure: optimized geometry

Properties
DOS at the Fermi energy: 3.11 states/eV/cell
Excess energy over the best structure of this formula in the dataset: 24 meV/atom
Formation energy (no corrections): -3.3 eV/f.u.
Total DFT energy (no corrections): -2.925 eV per atom

Unit cell a=4.092 b=4.092 c=9.250 alpha=90.00 beta=90.00 gamma=90.00
Space group P4/mmm (No. 123)
One atom of each set of equivalent atoms:
1 Ba 0.000 0.000 0.220 x2
2 Ga 0.500 0.500 0.000 x1
3 I 0.500 0.500 0.500 x1

---

(3)
Compound: PmSm12Bi6
Source: Alexandria
Functional: PBE
Structure: optimized geometry

Properties
DOS at the Fermi energy: 44.34 states/eV/cell
Formation energy: -0.312 eV per atom
Total DFT energy (no corrections): -4.769 eV per atom

Unit cell a=14.4413 b=14.4413 c=11.2226 alpha=90.00 beta=90.00 gamma=120.00
Space group R-3 (No. 148, hexagonal axes)
One atom of each set of equivalent atoms:
1 Pm 0.0000 0.0000 0.0000 x3
2 Sm 0.0202 0.8421 0.3554 x18
3 Sm 0.0692 0.8379 0.9041 x18
4 Bi 0.0246 0.7619 0.6302 x18

---

(4)
Compound: Bi2RuRh
Source: Alexandria
Functional: PBE
Structure: optimized geometry

Properties
DOS at the Fermi energy: 19.36 states/eV/cell
Excess energy over the best structure of this formula in the dataset: 0 meV/atom
Formation energy: 0.290 eV per atom
Total DFT energy (no corrections): -5.807 eV per atom

Unit cell a=6.844 b=6.844 c=6.844 alpha=90.00 beta=90.00 gamma=90.00
Space group Fm-3m (No. 225)
One atom of each set of equivalent atoms:
1 Bi 0.250 0.250 0.250 x8
2 Ru 0.000 0.000 0.000 x4
3 Rh 0.000 0.000 0.500 x4

---

(5)
Compound: NbSbRh3
Source: Alexandria
Functional: PBE
Structure: optimized geometry

Properties
DOS at the Fermi energy: 2.63 states/eV/cell
Excess energy over the best structure of this formula in the dataset: 0 meV/atom
Formation energy (no corrections): 3.8 eV/f.u.
Total DFT energy (no corrections): -6.482 eV per atom

Unit cell a=4.753 b=4.753 c=4.753 alpha=90.00 beta=90.00 gamma=90.00
Space group Pm-3m (No. 221)
One atom of each set of equivalent atoms:
1 Nb 0.000 0.000 0.000 x1
2 Sb 0.500 0.500 0.500 x1
3 Rh 0.000 0.000 0.500 x3

---

(6)
Compound: CrIr3Pd
Source: Alexandria
Functional: PBE
Structure: optimized geometry

Properties
DOS at the Fermi energy: 9.24 states/eV/cell
Excess energy over the best structure of this formula in the dataset: 0 meV/atom
Formation energy: 1.302 eV per atom
Total DFT energy (no corrections): -6.978 eV per atom

Unit cell a=4.454 b=4.454 c=4.454 alpha=90.00 beta=90.00 gamma=90.00
Space group Pm-3m (No. 221)
One atom of each set of equivalent atoms:
1 Cr 0.000 0.000 0.000 x1
2 Ir 0.000 0.000 0.500 x3
3 Pd 0.500 0.500 0.500 x1